Here is crystalline K2PrZnF8 at its relaxed geometry from Alexandria via LeMat-Bulk. Energies are from PBE.

Output
E_form (uncorrected): -2826 meV per atom
crystal system: triclinic
Fermi-level density of states: 0.686 states/eV per atom
density: 3.675 g cm⁻³
DFT total energy: -4.761 eV/atom

a = 4.092 Å, b = 6.226 Å, c = 7.798 Å
α = 84.22°, β = 88.67°, γ = 86.22°
Sites, in units of the cell vectors:
K (0.012, 0.023, 0.236)
K (0.988, 0.977, 0.764)
Pr (0.500, 0.500, 0.500)
Zn (0.500, 0.500, 0.000)
F (0.005, 0.288, 0.484)
F (0.109, 0.679, 0.038)
F (0.459, 0.240, 0.739)
F (0.473, 0.330, 0.225)
F (0.527, 0.670, 0.775)
F (0.541, 0.760, 0.261)
F (0.891, 0.321, 0.962)
F (0.995, 0.712, 0.516)



Here is crystalline TaReSi2 at its relaxed geometry from Alexandria via LeMat-Bulk. Energies are from PBE.

Output
E_form (uncorrected): -259 meV per atom
crystal system: orthorhombic
Fermi-level density of states: 0.233 states/eV per atom
density: 12.043 g cm⁻³
DFT total energy: -9.045 eV/atom

a = 4.248 Å, b = 4.743 Å, c = 4.743 Å
α = 37.64°, β = 90.00°, γ = 90.00°
Sites, in units of the cell vectors:
Ta (0.000, 0.000, 0.000)
Re (0.500, 0.723, 0.723)
Si (0.000, 0.271, 0.271)
Si (0.500, 0.443, 0.443)



Here is crystalline K2MgSbN at its relaxed geometry from Alexandria via LeMat-Bulk. Energies are from PBE.

Output
E_form (uncorrected): 217 meV per atom
crystal system: tetragonal
Fermi-level density of states: 0.730 states/eV per atom
density: 2.430 g cm⁻³
DFT total energy: -3.030 eV/atom

a = 6.607 Å, b = 6.607 Å, c = 3.729 Å
α = 90.00°, β = 90.00°, γ = 90.00°
Sites, in units of the cell vectors:
K (0.000, 0.500, 0.000)
K (0.500, 0.000, 0.000)
Mg (0.000, 0.000, 0.000)
Sb (0.500, 0.500, 0.500)
N (0.000, 0.000, 0.500)



Here is crystalline DySc3Hg4 at its relaxed geometry from Alexandria via LeMat-Bulk. Energies are from PBE.

Output
E_form: -3.48 eV/f.u.
crystal system: tetragonal
Fermi-level density of states: 0.933 states/eV per atom
density: 10.008 g cm⁻³
DFT total energy: -3.535 eV/atom

a = 5.014 Å, b = 5.014 Å, c = 7.259 Å
α = 90.00°, β = 90.00°, γ = 90.00°
Sites, in units of the cell vectors:
Dy (0.000, 0.000, 0.000)
Sc (0.000, 0.000, 0.500)
Sc (0.500, 0.500, 0.000)
Sc (0.500, 0.500, 0.500)
Hg (0.000, 0.500, 0.262)
Hg (0.000, 0.500, 0.738)
Hg (0.500, 0.000, 0.262)
Hg (0.500, 0.000, 0.738)



Here is crystalline Tb5AlBi2 at its relaxed geometry from Alexandria via LeMat-Bulk. Energies are from PBE.

Output
E_form: -1.88 eV/f.u.
crystal system: orthorhombic
Fermi-level density of states: 1.048 states/eV per atom
density: 8.532 g cm⁻³
DFT total energy: -4.566 eV/atom

a = 6.460 Å, b = 6.460 Å, c = 14.524 Å
α = 90.00°, β = 90.00°, γ = 127.24°
Sites, in units of the cell vectors:
Tb (0.065, 0.935, 0.750)
Tb (0.123, 0.877, 0.052)
Tb (0.123, 0.877, 0.448)
Tb (0.423, 0.577, 0.101)
Tb (0.423, 0.577, 0.399)
Tb (0.577, 0.423, 0.601)
Tb (0.577, 0.423, 0.899)
Tb (0.877, 0.123, 0.552)
Tb (0.877, 0.123, 0.948)
Tb (0.935, 0.065, 0.250)
Al (0.222, 0.778, 0.250)
Al (0.778, 0.222, 0.750)
Bi (0.296, 0.704, 0.622)
Bi (0.296, 0.704, 0.878)
Bi (0.704, 0.296, 0.122)
Bi (0.704, 0.296, 0.378)



Here is crystalline Ba2Ga3Pd5 at its relaxed geometry from Alexandria via LeMat-Bulk. Energies are from PBE.

Output
E_form: -6.44 eV/f.u.
crystal system: orthorhombic
Fermi-level density of states: 0.360 states/eV per atom
density: 7.749 g cm⁻³
DFT total energy: -4.533 eV/atom

a = 8.912 Å, b = 8.912 Å, c = 8.912 Å
α = 110.38°, β = 85.45°, γ = 136.97°
Sites, in units of the cell vectors:
Ba (0.134, 0.247, 0.381)
Ba (0.366, 0.747, 0.113)
Ba (0.634, 0.253, 0.887)
Ba (0.866, 0.753, 0.619)
Ga (0.117, 0.621, 0.739)
Ga (0.250, 0.250, 0.000)
Ga (0.383, 0.121, 0.504)
Ga (0.617, 0.879, 0.496)
Ga (0.750, 0.750, 0.000)
Ga (0.883, 0.379, 0.261)
Pd (0.017, 0.750, 0.267)
Pd (0.116, 0.876, 0.993)
Pd (0.250, 0.750, 0.500)
Pd (0.384, 0.376, 0.760)
Pd (0.483, 0.750, 0.733)
Pd (0.517, 0.250, 0.267)
Pd (0.616, 0.624, 0.240)
Pd (0.750, 0.250, 0.500)
Pd (0.884, 0.124, 0.007)
Pd (0.983, 0.250, 0.733)



Here is crystalline Tb4PmEr at its relaxed geometry from Alexandria via LeMat-Bulk. Energies are from PBE.

Output
relative energy among the computed polymorphs: 0 meV per atom
E_form: 0.09 eV/f.u.
crystal system: triclinic
Fermi-level density of states: 1.268 states/eV per atom
density: 8.190 g cm⁻³
DFT total energy: -4.625 eV/atom

a = 3.570 Å, b = 6.167 Å, c = 9.427 Å
α = 77.40°, β = 79.15°, γ = 73.22°
Sites, in units of the cell vectors:
Tb (0.167, 0.001, 0.164)
Tb (0.167, 0.498, 0.669)
Tb (0.833, 0.502, 0.331)
Tb (0.833, 0.999, 0.836)
Pm (0.500, 0.000, 0.500)
Er (0.500, 0.500, 0.000)



Here is crystalline CsPm4Pb4 at its relaxed geometry from Alexandria via LeMat-Bulk. Energies are from PBE.

Output
E_form: -2.79 eV/f.u.
crystal system: tetragonal
Fermi-level density of states: 0.711 states/eV per atom
density: 7.018 g cm⁻³
DFT total energy: -4.165 eV/atom

a = 10.757 Å, b = 10.757 Å, c = 6.305 Å
α = 90.00°, β = 90.00°, γ = 90.00°
Sites, in units of the cell vectors:
Cs (0.250, 0.250, 0.250)
Cs (0.750, 0.750, 0.750)
Pm (0.123, 0.624, 0.151)
Pm (0.124, 0.877, 0.651)
Pm (0.376, 0.623, 0.651)
Pm (0.377, 0.876, 0.151)
Pm (0.623, 0.124, 0.849)
Pm (0.624, 0.377, 0.349)
Pm (0.876, 0.123, 0.349)
Pm (0.877, 0.376, 0.849)
Pb (0.069, 0.918, 0.164)
Pb (0.082, 0.569, 0.664)
Pb (0.418, 0.931, 0.664)
Pb (0.431, 0.582, 0.164)
Pb (0.569, 0.418, 0.836)
Pb (0.582, 0.069, 0.336)
Pb (0.918, 0.431, 0.336)
Pb (0.931, 0.082, 0.836)



> What is the formula in the second record?

TaReSi2



> Among the records above, which one has the lowest DFT total energy?

TaReSi2



> Fermi-level density of states of number 5 (Tb5AlBi2)?

1.048 states/eV per atom